# Lu2Si5Ir3

A geometry-optimized Lu2Si5Ir3 structure (PBE-GGA, OQMD via LeMat-Bulk).

a = 10.0252 Å, b = 11.3404 Å, c = 5.7719 Å
α = 90.00°, β = 90.00°, γ = 90.00°
Last column: nearest neighbours and their distance in Å.
Space group Ibam (No. 72)
Inequivalent atoms, fractional coordinates:
Lu  0.2287  0.1313  0.0000 x8  10 Si 2.93-3.26, 4 Ir 3.02-3.28
Si  0.0000  0.0000  0.2500 x4  4 Ir 2.44
Si  0.0000  0.2741  0.2500 x8  3 Ir 2.40-2.56, 2 Si 2.53
Si  0.1559  0.3942  0.0000 x8  3 Ir 2.32-2.44, 2 Si 2.53
Ir  0.0000  0.5000  0.2500 x4  6 Si 2.44-2.56
Ir  0.1162  0.1400  0.5000 x8  5 Si 2.32-2.44

Output
The value obtained for the calculated total energy is -7.21 eV/atom. Its calculated volume is 16.41 Å³/atom.